Record 1
DFT (PBE) results for a geometry-optimized NaLiAu structure.

```
6
Lattice="5.475 0.000 0.000 0.000 2.952 0.000 0.000 0.000 7.399" Properties=species:S:1:pos:R:3 pbc="T T T"
Na 1.369 0.000 0.895
Na 4.106 0.000 6.504
Li 0.000 0.000 3.699
Li 2.738 0.000 3.699
Au 1.369 1.476 5.490
Au 4.106 1.476 1.909
```

Output
space-group type	Pmma
E above lowest polymorph	0.07	eV per formula unit
formation energy from the elements	-341.2	meV/atom
calculated volume	120	Å³/cell
E_tot	-2.511	eV/atom



Record 2
DFT (PBE) results for a geometry-optimized ZrSeIBr2 structure.

```
5
Lattice="5.346 0.000 0.000 0.000 5.346 0.000 0.000 0.000 5.343" Properties=species:S:1:pos:R:3 pbc="T T T"
Zr 0.000 0.000 0.000
Se 0.000 0.000 2.671
I 2.673 2.673 2.671
Br 0.000 2.673 0.000
Br 2.673 0.000 0.000
```

Output
space-group type	P4/mmm
E above lowest polymorph	0.00	eV per formula unit
formation energy (no corrections)	-0.621	eV per atom
calculated volume	153	Å³/cell
E_tot	-4.006	eV/atom



Record 3
DFT (PBE) results for a geometry-optimized LaGaPdPb structure.

```
4
Lattice="0.000 3.606 3.606 3.606 0.000 3.606 3.606 3.606 0.000" Properties=species:S:1:pos:R:3 pbc="T T T"
La 0.000 0.000 0.000
Ga 5.409 5.409 5.409
Pd 1.803 1.803 1.803
Pb 3.606 3.606 3.606
```

Output
space-group type	F-43m
formation energy from the elements	-546.2	meV/atom
calculated volume	94	Å³/cell
E_tot	-4.760	eV/atom



Record 4
DFT (PBE) results for a geometry-optimized Ca3La2Ag4 structure.

```
9
Lattice="5.322 0.000 0.000 -2.661 4.609 0.000 0.000 0.000 10.296" Properties=species:S:1:pos:R:3 pbc="T T T"
Ca 0.000 0.000 0.000
Ca 0.000 3.073 4.229
Ca 2.661 1.536 6.067
La 0.000 3.073 8.152
La 2.661 1.536 2.144
Ag 0.000 0.000 3.654
Ag 0.000 0.000 6.642
Ag 0.000 3.073 0.997
Ag 2.661 1.536 9.299
```

Output
space-group type	P-3m1
formation energy from the elements	-211.6	meV/atom
calculated volume	253	Å³/cell
E_tot	-3.241	eV/atom



Record 5
DFT (PBE) results for a geometry-optimized Pm5GaHg2 structure.

```
16
Lattice="6.782 0.000 0.000 0.000 12.911 0.000 0.000 0.000 5.255" Properties=species:S:1:pos:R:3 pbc="T T T"
Pm 0.000 0.000 0.000
Pm 0.993 5.131 2.628
Pm 1.081 9.266 0.000
Pm 2.310 2.811 0.000
Pm 2.398 11.587 2.628
Pm 3.391 6.455 0.000
Pm 4.384 1.324 2.628
Pm 4.472 10.100 0.000
Pm 5.701 3.644 0.000
Pm 5.789 7.779 2.628
Ga 0.000 6.455 0.000
Ga 3.391 0.000 0.000
Hg 0.714 1.886 2.628
Hg 2.677 8.341 2.628
Hg 4.105 4.569 2.628
Hg 6.068 11.025 2.628
```

Output
space-group type	Pbam
E above lowest polymorph	0.00	eV per formula unit
formation energy from the elements	-373.4	meV/atom
calculated volume	460	Å³/cell
E_tot	-3.796	eV/atom



Record 6
DFT (PBE) results for a geometry-optimized Na3BO3 structure.

```
28
Lattice="3.603 0.000 0.000 0.000 10.340 0.000 -3.570 0.000 10.207" Properties=species:S:1:pos:R:3 pbc="T T T"
Na -0.881 1.911 2.592
Na -2.666 3.259 7.695
Na -2.667 0.587 9.252
Na -0.881 4.583 4.149
Na -0.879 1.039 5.960
Na 0.906 4.131 0.856
Na -0.873 6.208 9.350
Na 0.912 9.301 4.247
Na 0.914 5.757 6.058
Na 2.699 9.753 0.954
Na 2.699 7.081 2.511
Na 0.913 8.429 7.615
B -0.888 7.587 5.860
B 0.897 7.923 0.757
B -0.865 2.417 9.450
B 0.920 2.753 4.347
O -0.891 6.786 4.726
O -2.677 8.724 9.829
O 0.898 6.530 0.717
O -0.887 8.979 5.820
O -0.886 6.930 7.117
O 0.899 8.580 2.014
O -0.867 1.760 8.193
O 0.918 3.410 3.090
O 0.920 1.360 4.387
O -0.865 3.810 9.490
O 2.709 1.616 0.378
O 0.924 3.554 5.481
```

Output
space-group type	P2_1/c
E above lowest polymorph	0.31	eV per formula unit
formation energy (no corrections)	-1.924	eV per atom
calculated volume	380	Å³/cell
E_tot	-5.568	eV/atom



Record 7
DFT (PBE) results for a geometry-optimized Fe14CoIr structure.

```
16
Lattice="2.864 -4.065 0.000 2.864 4.065 0.000 0.000 0.000 8.126" Properties=species:S:1:pos:R:3 pbc="T T T"
Fe 0.000 0.000 0.000
Fe 1.432 2.033 0.000
Fe 1.432 2.033 4.063
Fe 2.864 2.040 2.017
Fe 2.864 2.040 6.109
Fe 1.462 0.000 1.997
Fe 1.462 0.000 6.129
Fe 1.432 -2.033 0.000
Fe 1.432 -2.033 4.063
Fe 2.864 0.000 0.000
Fe 4.266 0.000 1.997
Fe 4.266 0.000 6.129
Fe 2.864 -2.040 2.017
Fe 2.864 -2.040 6.109
Co 2.864 0.000 4.063
Ir 0.000 0.000 4.063
```

Output
space-group type	Cmmm
formation energy from the elements	-15.9	meV/atom
calculated volume	189	Å³/cell
E_tot	-8.419	eV/atom



Record 8
DFT (PBE) results for a geometry-optimized La3YAu7 structure.

```
22
Lattice="1.940 -10.871 0.000 1.940 10.871 0.000 0.000 0.000 13.370" Properties=species:S:1:pos:R:3 pbc="T T T"
La 1.940 7.988 7.346
La 1.940 7.988 12.710
La 1.940 6.313 3.343
La 1.940 -6.313 10.028
La 1.940 -7.988 0.661
La 1.940 -7.988 6.025
Y 1.940 10.696 3.343
Y 1.940 -10.696 10.028
Au 1.940 4.883 7.580
Au 1.940 4.883 12.476
Au 1.940 2.593 3.343
Au 1.940 2.247 8.595
Au 1.940 2.247 11.460
Au 1.940 0.542 1.225
Au 1.940 0.542 5.460
Au 1.940 -0.542 7.911
Au 1.940 -0.542 12.145
Au 1.940 -2.247 1.910
Au 1.940 -2.247 4.775
Au 1.940 -2.593 10.028
Au 1.940 -4.883 0.895
Au 1.940 -4.883 5.791
```

Output
space-group type	Cmcm
formation energy from the elements	-741.9	meV/atom
calculated volume	564	Å³/cell
E_tot	-4.759	eV/atom



Record 9
DFT (PBE) results for a geometry-optimized Ac4In2Si structure.

```
7
Lattice="6.265 -2.489 0.000 6.265 2.489 0.000 -4.805 0.000 8.200" Properties=species:S:1:pos:R:3 pbc="T T T"
Ac -0.704 0.000 3.013
Ac -0.389 0.000 7.590
Ac 8.113 0.000 0.610
Ac 8.428 0.000 5.187
In 2.994 0.000 2.810
In 4.731 0.000 5.390
Si 0.000 0.000 0.000
```

Output
space-group type	C2/m
E above lowest polymorph	0.00	eV per formula unit
formation energy (no corrections)	-0.373	eV per atom
calculated volume	256	Å³/cell
E_tot	-4.278	eV/atom



Record 10
DFT (PBE) results for a geometry-optimized Rb3Er2Cl9 structure.

```
28
Lattice="6.500 3.753 6.182 -6.500 3.753 6.182 0.000 -7.506 6.182" Properties=species:S:1:pos:R:3 pbc="T T T"
Rb -4.322 0.021 7.728
Rb -2.179 -3.732 10.819
Rb 2.143 -3.753 7.728
Rb -2.143 3.753 10.819
Rb 2.179 3.732 7.728
Rb 4.322 -0.021 10.819
Er 0.000 0.000 2.774
Er 0.000 0.000 6.500
Er 0.000 0.000 12.048
Er 0.000 0.000 15.773
Cl -1.235 -5.599 7.829
Cl -5.466 -1.730 10.718
Cl -1.993 0.000 4.637
Cl -1.235 -1.907 7.627
Cl 0.997 -1.726 4.637
Cl -4.231 3.868 7.829
Cl 0.997 1.726 4.637
Cl -2.269 0.115 10.920
Cl -1.035 2.023 7.627
Cl 1.035 -2.023 10.920
Cl 2.269 -0.115 7.627
Cl -0.997 -1.726 13.910
Cl 4.231 -3.868 10.718
Cl -0.997 1.726 13.910
Cl 1.235 1.907 10.920
Cl 1.993 0.000 13.910
Cl 5.466 1.730 7.829
Cl 1.235 5.599 10.718
```

Output
space-group type	R-3c
formation energy (no corrections)	-2.178	eV per atom
calculated volume	905	Å³/cell
E_tot	-4.225	eV/atom



Record 11
DFT (PBE) results for a geometry-optimized NaPb3Cl7 structure.

```
22
Lattice="5.089 -6.951 0.000 5.089 6.951 0.000 0.000 0.000 9.531" Properties=species:S:1:pos:R:3 pbc="T T T"
Na 0.120 0.000 0.000
Na 10.057 0.000 4.766
Pb 2.817 3.776 7.039
Pb 7.361 3.776 7.258
Pb 4.686 0.000 4.766
Pb 5.491 0.000 0.000
Pb 2.817 -3.776 2.492
Pb 7.361 -3.776 2.273
Cl 2.234 1.827 9.163
Cl 5.089 5.594 7.148
Cl 2.351 1.653 5.066
Cl 2.351 -1.653 4.465
Cl 2.234 -1.827 0.368
Cl 5.089 1.945 7.148
Cl 5.089 1.785 2.383
Cl 5.089 -1.785 7.148
Cl 5.089 -1.945 2.383
Cl 7.943 1.827 5.133
Cl 7.827 1.653 9.230
Cl 7.827 -1.653 0.301
Cl 5.089 -5.594 2.383
Cl 7.943 -1.827 4.398
```

Output
space-group type	C222_1
formation energy (no corrections)	-1.249	eV per atom
calculated volume	674	Å³/cell
E_tot	-3.556	eV/atom



Record 12
DFT (PBE) results for a geometry-optimized AcNd2PaN4 structure.

```
8
Lattice="6.297 0.000 0.000 0.000 3.661 0.000 -2.129 0.000 6.091" Properties=species:S:1:pos:R:3 pbc="T T T"
Ac 0.000 0.000 0.000
Nd 2.084 0.000 3.046
Nd 3.149 1.831 0.000
Pa -1.064 1.831 3.046
N -0.102 0.000 4.352
N 0.868 1.831 1.751
N 3.301 1.831 4.340
N 4.271 0.000 1.739
```

Output
space-group type	P2/m
formation energy (no corrections)	-1.374	eV per atom
calculated volume	140	Å³/cell
E_tot	-8.429	eV/atom



Question: Look up the E_tot of the first one.
Answer: -2.511 eV/atom



Question: Number 2 is which compound?
Answer: ZrSeIBr2